1.
PmPbAu4: optimized geometry, GGA-PBE.

Output
* ΔE to the lowest computed polymorph: 0 meV per atom
* ΔE_f: -2.65 eV/f.u.
* calculated volume: 22.6 Å³ per atom
* E_tot: -4.037 eV per atom
* D(E_F): 0.585 states/eV/atom

Cell lengths 4.8608, 4.8608, 6.6311 Å; angles 90.00, 90.00, 120.00 degrees
Closest atoms and distances in Å follow each position.
Atoms (fractional coordinates):
Au1 0.6667 0.3333 0.7568  3 Au 2.81
Pb1 0.0000 0.0000 0.5000  12 Au 3.28, 2 Pm 3.32
Au2 0.6667 0.3333 0.2432  3 Au 2.81
Au3 0.3333 0.6667 0.7568  3 Au 2.81
Pm1 0.0000 0.0000 0.0000  12 Au 3.24, 2 Pb 3.32
Au4 0.3333 0.6667 0.2432  3 Au 2.81

---

2.
PmPbAu: optimized geometry, GGA-PBE.

Output
* ΔE to the lowest computed polymorph: 0 meV per atom
* ΔE_f: -2.10 eV/f.u.
* calculated volume: 28.0 Å³ per atom
* E_tot: -4.613 eV per atom
* D(E_F): 0.112 states/eV/atom

Cell lengths 4.9140, 4.9140, 4.9140 Å; angles 60.00, 60.00, 60.00 degrees
Closest atoms and distances in Å follow each position.
Atoms (fractional coordinates):
Pb1 0.5000 0.5000 0.5000  4 Au 3.01
Au1 0.2500 0.2500 0.2500  4 Pb 3.01, 4 Pm 3.01
Pm1 0.0000 0.0000 0.0000  4 Au 3.01